This record from the Alexandria database describes BeCu2PdI after structural relaxation. The functional is PBE-GGA.

DOS(E_F)   3.3 states/eV/f.u.
Crystal system   tetragonal
Uncorrected formation energy   3.194 eV/f.u.

abc: 4.859 4.250 4.859
angles: 90.00 90.00 90.00
Fractional positions:
Pd 0.000 0.000 0.000
Be 0.000 0.500 0.000
Cu 0.000 0.000 0.500
Cu 0.500 0.000 0.000
I 0.500 0.500 0.500

This record from the Alexandria database describes Rb2BeCuI6 after structural relaxation. The functional is PBE-GGA.

DOS(E_F)   10.0 states/eV/f.u.
Crystal system   tetragonal
Uncorrected formation energy   -6.305 eV/f.u.

abc: 8.015 8.015 8.261
angles: 60.98 60.98 90.00
Fractional positions:
I 0.276 0.724 0.000
I 0.276 0.276 0.000
I 0.790 0.790 0.419
I 0.724 0.724 0.000
I 0.210 0.210 0.581
I 0.724 0.276 0.000
Rb 0.750 0.250 0.500
Rb 0.250 0.750 0.500
Be 0.500 0.500 0.000
Cu 0.000 0.000 0.000

This record from the Alexandria database describes RbBeCu2I6 after structural relaxation. The functional is PBE-GGA.

DOS(E_F)   12.2 states/eV/f.u.
Crystal system   monoclinic
Uncorrected formation energy   -4.641 eV/f.u.

abc: 8.380 10.779 10.779
angles: 91.00 72.27 72.27
Fractional positions:
I 0.916 0.289 0.391
I 0.584 0.609 0.711
I 0.979 0.352 0.769
I 0.233 0.987 0.770
I 0.767 0.013 0.230
I 0.084 0.711 0.609
I 0.479 0.769 0.352
I 0.267 0.230 0.013
I 0.416 0.391 0.289
I 0.521 0.231 0.648
I 0.733 0.770 0.987
I 0.021 0.648 0.231
Rb 0.250 0.892 0.108
Rb 0.750 0.108 0.892
Be 0.250 0.212 0.788
Be 0.750 0.788 0.212
Cu 0.627 0.241 0.391
Cu 0.373 0.759 0.609
Cu 0.873 0.609 0.759
Cu 0.127 0.391 0.241